# 1
# PBE-GGA Al2VGa4, optimized geometry
# **Calculated formation energy**: 4.53 kcal/mol of atoms
# **Uncorrected energy**: -54.672 eV per cell
data_Al2VGa4
_chemical_formula_sum 'Al4 V2 Ga8'
_symmetry_space_group_name_H-M 'I 4/m m m'
_symmetry_Int_Tables_number 139
_symmetry_space_group_name_Hall '-I 4 2'
_cell_length_a 6.831
_cell_length_b 6.831
_cell_length_c 5.091
_cell_angle_alpha 90.00
_cell_angle_beta 90.00
_cell_angle_gamma 90.00
loop_
_atom_site_label
_atom_site_type_symbol
_atom_site_fract_x
_atom_site_fract_y
_atom_site_fract_z
Al1 Al 0.000 0.500 0.250
V1 V 0.000 0.000 0.000
Ga1 Ga 0.196 0.196 0.500



# 2
# PBE-GGA AlVGa, optimized geometry
# **Calculated formation energy**: -4.18 kcal/mol of atoms
# **Uncorrected energy**: -65.728 eV per cell
data_AlVGa
_chemical_formula_sum 'Al4 V4 Ga4'
_symmetry_space_group_name_H-M 'C m m m'
_symmetry_Int_Tables_number 65
_symmetry_space_group_name_Hall '-C 2 2'
_cell_length_a 5.370
_cell_length_b 12.907
_cell_length_c 2.706
_cell_angle_alpha 90.00
_cell_angle_beta 90.00
_cell_angle_gamma 90.00
loop_
_atom_site_label
_atom_site_type_symbol
_atom_site_fract_x
_atom_site_fract_y
_atom_site_fract_z
Al1 Al 0.000 0.154 0.000
V1 V 0.242 0.000 0.500
Ga1 Ga 0.000 0.352 0.000